The following is a DFT calculation (PBE-GGA) of crystalline Cs2KNiCl6 at its relaxed geometry.

The total magnetization comes out at 1.000 μB per formula unit. Its density of states at the Fermi level is 5.47 states/eV/cell. The calculated total energy is -3.3481 eV per atom.

It has space group P-3m1 (No. 164), with a = 7.3905 Å, b = 7.3905 Å, c = 7.5972 Å, α = 90.00°, β = 90.00° and γ = 120.00°. The inequivalent atoms are Cs at (0.3333, 0.6667, 0.3383), K at (0.0000, 0.0000, 0.0000), Ni at (0.0000, 0.0000, 0.5000) and Cl at (0.1492, 0.2985, 0.6790).

The following is a DFT calculation (PBE-GGA) of crystalline Pm7Sm4Er at its relaxed geometry.

The total magnetization comes out at 0.499 μB per formula unit. Its density of states at the Fermi level is 37.69 states/eV/cell. The offset from the most stable computed form is 0.2086 eV per atom. The formation energy is 0.219 eV/atom.

It has space group C2/m (No. 12), with a = 16.322 Å, b = 6.032 Å, c = 9.371 Å, α = 90.00°, β = 115.97° and γ = 90.00°. The inequivalent atoms are Pm at (0.000, 0.000, 0.000), Pm at (0.081, 0.500, 0.437), Pm at (0.207, 0.500, 0.225), Pm at (0.209, 0.500, 0.877), Sm at (0.074, 0.000, 0.700), Sm at (0.174, 0.000, 0.389) and Er at (0.000, 0.500, 0.000).

The following is a DFT calculation (PBE-GGA) of crystalline TbFeCo at its relaxed geometry.

The total magnetization comes out at 2.813 μB per formula unit. Its density of states at the Fermi level is 57.83 states/eV/cell. The offset from the most stable computed form is 0.0224 eV per atom. The formation energy is -0.123 eV/atom.

It has space group R-3m (No. 166, hexagonal axes), with a = 5.1829 Å, b = 5.1829 Å, c = 36.8269 Å, α = 90.00°, β = 90.00° and γ = 120.00°. The inequivalent atoms are Tb at (0.0000, 0.0000, 0.0428), Tb at (0.0000, 0.0000, 0.1804), Tb at (0.0000, 0.0000, 0.2630), Fe at (0.0000, 0.0000, 0.3898), Fe at (0.0000, 0.0000, 0.5000), Fe at (0.0000, 0.5000, 0.0000) and Co at (0.9999, 0.5000, 0.2216).

The following is a DFT calculation (PBE-GGA) of crystalline SrB2Rh at its relaxed geometry.

The total magnetization comes out at 0.000 μB per formula unit. Its density of states at the Fermi level is 9.23 states/eV/cell. The offset from the most stable computed form is 0.0000 eV per atom. The formation energy is -0.108 eV/atom.

It has space group I4_1/amd (No. 141, origin choice 2), with a = 4.769 Å, b = 4.769 Å, c = 12.732 Å, α = 90.00°, β = 90.00° and γ = 90.00°. The inequivalent atoms are Sr at (0.000, 0.250, 0.375), B at (0.000, 0.000, 0.000) and Rh at (0.000, 0.250, 0.875).

The following is a DFT calculation (PBE-GGA) of crystalline CaCu2 at its relaxed geometry.

The total magnetization comes out at 0.000 μB per formula unit. Its density of states at the Fermi level is 2.37 states/eV/cell. The formation energy is 0.404 eV/atom.

It has space group P6_3/mmc (No. 194), with a = 4.5757 Å, b = 4.5757 Å, c = 9.2697 Å, α = 90.00°, β = 90.00° and γ = 120.00°. The inequivalent atoms are Ca at (0.3333, 0.6667, 0.2500) and Cu at (0.0000, 0.0000, 0.1234).

The following is a DFT calculation (PBE-GGA) of crystalline TlZnIn2 at its relaxed geometry.

The total magnetization comes out at 0.000 μB per formula unit. Its density of states at the Fermi level is 1.96 states/eV/cell. The formation energy is 0.067 eV/atom.

It has space group Pmmm (No. 47), with a = 3.503 Å, b = 3.671 Å, c = 7.913 Å, α = 90.00°, β = 90.00° and γ = 90.00°. The inequivalent atoms are Tl at (0.000, 0.000, 0.000), Zn at (0.000, 0.000, 0.500) and In at (0.500, 0.500, 0.292).